(1)
DFT (PBE) results for crystalline PrAg2OsO6 at its relaxed geometry.

Results
Its total energy is -6.39 eV/atom. The density of states at the Fermi level comes out at 7.94 states/eV/cell. As for the total moment: 0.00 μB/f.u.

a b c (Å): 5.7691 5.7911 8.3443
angles (deg): 90.00 90.89 90.00
Sites, in units of the cell vectors:
Pr  0.5000  0.0000  0.0000
Pr  0.0000  0.5000  0.5000
Ag  0.9930  0.9844  0.2494
Ag  0.4930  0.5156  0.7494
Ag  0.0070  0.0156  0.7506
Ag  0.5070  0.4844  0.2506
Os  0.5000  0.0000  0.5000
Os  0.0000  0.5000  0.0000
O  0.2858  0.6547  0.0424
O  0.7858  0.8453  0.5424
O  0.7142  0.3453  0.9576
O  0.2142  0.1547  0.4576
O  0.3528  0.7145  0.4503
O  0.8528  0.7855  0.9503
O  0.6472  0.2855  0.5497
O  0.1472  0.2145  0.0497
O  0.9142  0.5436  0.2201
O  0.4142  0.9564  0.7201
O  0.0858  0.4564  0.7799
O  0.5858  0.0436  0.2799



(2)
DFT (PBE) results for crystalline Cs2Zn2F7 at its relaxed geometry.

Results
Its total energy is -3.68 eV/atom. The density of states at the Fermi level comes out at 9.46 states/eV/cell. As for the total moment: 1.12 μB/f.u.

a b c (Å): 5.2699 6.8372 5.2698
angles (deg): 89.98 96.31 90.02
Sites, in units of the cell vectors:
Cs  0.7571  0.5000  0.7571
Cs  0.2429  0.5000  0.2429
Zn  0.7284  0.0000  0.2716
Zn  0.2716  0.0000  0.7284
F  0.9997  0.1865  0.4999
F  0.4999  0.8135  0.9997
F  0.0003  0.8135  0.5001
F  0.5001  0.1865  0.0003
F  0.0000  0.0000  0.0000
F  0.5003  0.8196  0.4997
F  0.4997  0.1804  0.5003



(3)
DFT (PBE) results for crystalline TbLu2Sb at its relaxed geometry.

Results
Its total energy is -4.88 eV/atom. The density of states at the Fermi level comes out at 4.34 states/eV/cell. As for the total moment: 0.00 μB/f.u.

a b c (Å): 3.9050 3.9050 7.2925
angles (deg): 90.00 90.00 90.00
Sites, in units of the cell vectors:
Sb  0.5000  0.5000  0.0000
Lu  0.0000  0.0000  0.7762
Lu  0.0000  0.0000  0.2238
Tb  0.5000  0.5000  0.5000



(4)
DFT (PBE) results for crystalline Ta2Ni at its relaxed geometry.

Results
For the formation energy, the calculation gives 0.64 eV/atom. Its total energy is -9.18 eV/atom. The density of states at the Fermi level comes out at 5.86 states/eV/cell. As for the total moment: 0.00 μB/f.u.

a b c (Å): 5.3047 5.3047 5.3047
angles (deg): 60.00 60.00 60.00
Sites, in units of the cell vectors:
Ta  0.6250  0.6250  0.6250
Ta  0.1250  0.6250  0.6250
Ta  0.6250  0.1250  0.6250
Ta  0.6250  0.6250  0.1250
Ni  0.0000  0.0000  0.0000
Ni  0.2500  0.2500  0.2500



(5)
DFT (PBE) results for crystalline Ca2Tl3SbO6 at its relaxed geometry.

Results
Its total energy is -5.41 eV/atom. As for the total moment: 0.00 μB/f.u.

a b c (Å): 5.9872 5.9872 6.7038
angles (deg): 97.95 97.95 119.94
Sites, in units of the cell vectors:
Ca  0.3324  0.6676  0.0000
Ca  0.6676  0.3324  0.0000
Tl  0.1669  0.8331  0.5000
Tl  0.8331  0.1669  0.5000
Tl  0.5000  0.5000  0.5000
Sb  0.0000  0.0000  0.0000
O  0.9424  0.6567  0.8336
O  0.7727  0.7727  0.1864
O  0.0576  0.3433  0.1664
O  0.6567  0.9424  0.8336
O  0.2273  0.2273  0.8136
O  0.3433  0.0576  0.1664



(6)
DFT (PBE) results for crystalline CeCdHgSb at its relaxed geometry.

Results
Its total energy is -3.31 eV/atom. The density of states at the Fermi level comes out at 6.13 states/eV/cell. As for the total moment: 0.82 μB/f.u.

a b c (Å): 4.5905 4.3993 5.1634
angles (deg): 90.00 90.00 90.00
Sites, in units of the cell vectors:
Ce  0.5000  0.0000  0.5000
Cd  0.0000  0.0000  0.0000
Hg  0.5000  0.5000  0.0000
Sb  0.0000  0.5000  0.5000



(7)
DFT (PBE) results for crystalline ErZnIr4 at its relaxed geometry.

Results
For the formation energy, the calculation gives -0.34 eV/atom. Its total energy is -7.22 eV/atom. The density of states at the Fermi level comes out at 7.76 states/eV/cell. As for the total moment: 0.00 μB/f.u.

a b c (Å): 5.2559 5.2559 5.2559
angles (deg): 60.00 60.00 60.00
Sites, in units of the cell vectors:
Zn  0.0000  0.0000  0.0000
Ir  0.6254  0.6254  0.1238
Ir  0.6254  0.1238  0.6254
Ir  0.6254  0.6254  0.6254
Ir  0.1238  0.6254  0.6254
Er  0.2500  0.2500  0.2500



(8)
DFT (PBE) results for crystalline BeMo3Ru at its relaxed geometry.

Results
For the formation energy, the calculation gives 0.73 eV/atom. Its total energy is -8.37 eV/atom. The density of states at the Fermi level comes out at 4.85 states/eV/cell. As for the total moment: 0.00 μB/f.u.

a b c (Å): 4.1917 4.1917 4.1917
angles (deg): 90.00 90.00 90.00
Sites, in units of the cell vectors:
Ru  0.5000  0.5000  0.5000
Mo  0.0000  0.5000  0.0000
Mo  0.0000  0.0000  0.5000
Mo  0.5000  0.0000  0.0000
Be  0.0000  0.0000  0.0000



(9)
DFT (PBE) results for crystalline Ti4MnRe2 at its relaxed geometry.

Results
For the formation energy, the calculation gives 0.58 eV/atom. Its total energy is -8.80 eV/atom. The density of states at the Fermi level comes out at 6.46 states/eV/cell. As for the total moment: 0.00 μB/f.u.

a b c (Å): 4.3510 4.3510 7.0865
angles (deg): 72.12 72.12 90.00
Sites, in units of the cell vectors:
Re  0.3768  0.3768  0.2464
Re  0.6232  0.6232  0.7536
Mn  0.0000  0.0000  0.0000
Ti  0.1884  0.1884  0.6232
Ti  0.8116  0.8116  0.3768
Ti  0.0000  0.5000  0.0000
Ti  0.5000  0.0000  0.0000



(10)
DFT (PBE) results for crystalline LiMnCl3 at its relaxed geometry.

Results
Its total energy is -4.03 eV/atom. The density of states at the Fermi level comes out at 0.00 states/eV/cell. As for the total moment: 5.00 μB/f.u.

a b c (Å): 4.6431 4.6431 4.6431
angles (deg): 90.00 90.00 90.00
Sites, in units of the cell vectors:
Mn  0.5000  0.5000  0.5000
Li  0.0000  0.0000  0.0000
Cl  0.0000  0.5000  0.0000
Cl  0.0000  0.0000  0.5000
Cl  0.5000  0.0000  0.0000



(11)
DFT (PBE) results for crystalline NdMgIn2Au4 at its relaxed geometry.

Results
For the formation energy, the calculation gives -0.54 eV/atom. Its total energy is -3.65 eV/atom. The density of states at the Fermi level comes out at 3.00 states/eV/cell. As for the total moment: 0.00 μB/f.u.

a b c (Å): 4.7368 4.7368 9.2134
angles (deg): 75.10 75.10 60.00
Sites, in units of the cell vectors:
Nd  0.0000  0.0000  0.0000
Mg  0.5000  0.5000  0.5000
In  0.7545  0.7545  0.7365
In  0.2455  0.2455  0.2635
Au  0.3914  0.3914  0.8259
Au  0.8660  0.8660  0.4021
Au  0.1340  0.1340  0.5979
Au  0.6086  0.6086  0.1741



(12)
DFT (PBE) results for crystalline CuSiPb3 at its relaxed geometry.

Results
Its total energy is -3.32 eV/atom. The density of states at the Fermi level comes out at 4.02 states/eV/cell. As for the total moment: 0.00 μB/f.u.

a b c (Å): 5.4044 5.4044 5.4044
angles (deg): 90.00 90.00 90.00
Sites, in units of the cell vectors:
Pb  0.0000  0.5000  0.0000
Pb  0.0000  0.0000  0.5000
Pb  0.5000  0.0000  0.0000
Si  0.0000  0.0000  0.0000
Cu  0.5000  0.5000  0.5000



(13)
DFT (PBE) results for crystalline MnAu2 at its relaxed geometry.

Results
For the formation energy, the calculation gives 0.16 eV/atom. Its total energy is -5.09 eV/atom. The density of states at the Fermi level comes out at 1.39 states/eV/cell. As for the total moment: 4.22 μB/f.u.

a b c (Å): 4.4894 4.4894 2.9680
angles (deg): 90.00 90.00 90.00
Sites, in units of the cell vectors:
Au  0.0000  0.5000  0.5000
Au  0.5000  0.0000  0.5000
Mn  0.0000  0.0000  0.0000



(14)
DFT (PBE) results for crystalline GaNi2GePt at its relaxed geometry.

Results
For the formation energy, the calculation gives 0.68 eV/atom. Its total energy is -4.37 eV/atom. The density of states at the Fermi level comes out at 9.44 states/eV/cell. As for the total moment: 1.82 μB/f.u.

a b c (Å): 4.7765 4.6014 4.7765
angles (deg): 90.00 90.00 90.00
Sites, in units of the cell vectors:
Ni  0.0000  0.0000  0.5000
Ni  0.5000  0.0000  0.0000
Ge  0.0000  0.5000  0.0000
Ga  0.5000  0.5000  0.5000
Pt  0.0000  0.0000  0.0000



(15)
DFT (PBE) results for crystalline Ta2Nb6Pd at its relaxed geometry.

Results
For the formation energy, the calculation gives 0.04 eV/atom. Its total energy is -9.88 eV/atom. The density of states at the Fermi level comes out at 17.45 states/eV/cell. As for the total moment: 0.00 μB/f.u.

a b c (Å): 7.1900 8.8954 8.8954
angles (deg): 108.42 117.71 117.71
Sites, in units of the cell vectors:
Ta  0.0000  0.3371  0.1629
Ta  0.5000  0.8371  0.6629
Ta  0.0000  0.6629  0.8371
Ta  0.5000  0.1629  0.3371
Nb  0.3256  0.3246  0.4985
Nb  0.1744  0.5015  0.6754
Nb  0.6744  0.6754  0.5015
Nb  0.8256  0.4985  0.3246
Nb  0.9181  0.0846  0.5846
Nb  0.5819  0.4154  0.9154
Nb  0.0819  0.9154  0.4154
Nb  0.4181  0.5846  0.0846
Nb  0.1744  0.1754  0.0015
Nb  0.3256  0.9985  0.8246
Nb  0.8256  0.8246  0.9985
Nb  0.6744  0.0015  0.1754
Pd  0.2500  0.7500  0.2500
Pd  0.7500  0.2500  0.7500



(16)
DFT (PBE) results for crystalline TePPt2 at its relaxed geometry.

Results
Its total energy is -5.35 eV/atom. The density of states at the Fermi level comes out at 1.96 states/eV/cell. As for the total moment: 0.00 μB/f.u.

a b c (Å): 3.7952 4.4253 5.2236
angles (deg): 68.87 90.00 90.00
Sites, in units of the cell vectors:
Te  0.0000  0.5269  0.5422
P  0.5000  0.2370  0.1372
Pt  0.0000  0.9949  0.0320
Pt  0.5000  0.7412  0.7886



(17)
DFT (PBE) results for crystalline AcYH8Rh2 at its relaxed geometry.

Results
Its total energy is -4.67 eV/atom. The density of states at the Fermi level comes out at 2.58 states/eV/cell. As for the total moment: 0.00 μB/f.u.

a b c (Å): 4.9657 4.9657 6.8795
angles (deg): 68.84 68.84 60.00
Sites, in units of the cell vectors:
Ac  0.5000  0.5000  0.5000
Y  0.0000  0.0000  0.0000
H  0.1864  0.1864  0.4407
H  0.5613  0.3690  0.1691
H  0.8136  0.8136  0.5593
H  0.9007  0.5613  0.1691
H  0.0993  0.4387  0.8309
H  0.3690  0.9007  0.1691
H  0.6310  0.0993  0.8309
H  0.4387  0.6310  0.8309
Rh  0.2726  0.2726  0.1821
Rh  0.7274  0.7274  0.8179



(18)
DFT (PBE) results for crystalline CaSm2Tl at its relaxed geometry.

Results
For the formation energy, the calculation gives 0.06 eV/atom. Its total energy is -3.40 eV/atom. The density of states at the Fermi level comes out at 5.41 states/eV/cell. As for the total moment: 0.00 μB/f.u.

a b c (Å): 3.6371 3.6371 12.3011
angles (deg): 81.50 81.50 60.00
Sites, in units of the cell vectors:
Tl  0.5000  0.5000  0.5000
Ca  0.0000  0.0000  0.0000
Sm  0.0965  0.0965  0.7104
Sm  0.9035  0.9035  0.2896



(19)
DFT (PBE) results for crystalline RuPt4 at its relaxed geometry.

Results
For the formation energy, the calculation gives 0.54 eV/atom. Its total energy is -6.15 eV/atom. The density of states at the Fermi level comes out at 8.06 states/eV/cell. As for the total moment: 2.93 μB/f.u.

a b c (Å): 7.0305 7.0305 7.0305
angles (deg): 149.82 149.82 43.20
Sites, in units of the cell vectors:
Ru  0.0000  0.0000  0.0000
Pt  0.2500  0.7500  0.5000
Pt  0.5971  0.5971  0.0000
Pt  0.4029  0.4029  0.0000
Pt  0.7500  0.2500  0.5000



(20)
DFT (PBE) results for crystalline TbMgCdSn at its relaxed geometry.

Results
For the formation energy, the calculation gives -0.45 eV/atom. Its total energy is -3.23 eV/atom. The density of states at the Fermi level comes out at 1.45 states/eV/cell. As for the total moment: 0.00 μB/f.u.

a b c (Å): 4.4030 4.5579 4.8104
angles (deg): 90.00 90.00 90.00
Sites, in units of the cell vectors:
Tb  0.5000  0.0000  0.5000
Mg  0.5000  0.5000  0.0000
Cd  0.0000  0.0000  0.0000
Sn  0.0000  0.5000  0.5000



(21)
DFT (PBE) results for crystalline MnNiB2 at its relaxed geometry.

Results
For the formation energy, the calculation gives 0.21 eV/atom. Its total energy is -6.86 eV/atom. The density of states at the Fermi level comes out at 2.73 states/eV/cell. As for the total moment: 3.74 μB/f.u.

a b c (Å): 3.4716 3.4716 7.4263
angles (deg): 76.48 76.48 90.00
Sites, in units of the cell vectors:
Ni  0.0000  0.0000  0.0000
Ni  0.7500  0.2500  0.5000
B  0.8753  0.1250  0.2500
B  0.8747  0.6250  0.2500
B  0.3750  0.1247  0.7500
B  0.8750  0.1253  0.7500
Mn  0.5000  0.5000  0.0000
Mn  0.2500  0.7500  0.5000



(22)
DFT (PBE) results for crystalline Zn2CrIr at its relaxed geometry.

Results
For the formation energy, the calculation gives -0.01 eV/atom. Its total energy is -5.26 eV/atom. The density of states at the Fermi level comes out at 3.00 states/eV/cell. As for the total moment: 3.74 μB/f.u.

a b c (Å): 3.8957 3.8306 3.8306
angles (deg): 90.00 90.00 90.00
Sites, in units of the cell vectors:
Cr  0.5000  0.5000  0.0000
Ir  0.5000  0.0000  0.5000
Zn  0.0000  0.0000  0.0000
Zn  0.0000  0.5000  0.5000



(23)
DFT (PBE) results for crystalline Lu3ZrO at its relaxed geometry.

Results
Its total energy is -6.52 eV/atom. The density of states at the Fermi level comes out at 5.96 states/eV/cell. As for the total moment: 0.01 μB/f.u.

a b c (Å): 4.7287 4.7287 4.7287
angles (deg): 90.00 90.00 90.00
Sites, in units of the cell vectors:
Lu  0.0000  0.5000  0.0000
Lu  0.0000  0.0000  0.5000
Lu  0.5000  0.0000  0.0000
O  0.0000  0.0000  0.0000
Zr  0.5000  0.5000  0.5000



(24)
DFT (PBE) results for crystalline K2RhCl at its relaxed geometry.

Results
Its total energy is -2.89 eV/atom. The density of states at the Fermi level comes out at 2.72 states/eV/cell. As for the total moment: 1.12 μB/f.u.

a b c (Å): 7.3121 7.3121 7.3121
angles (deg): 144.85 144.85 50.56
Sites, in units of the cell vectors:
K  0.0000  0.0000  0.0000
K  0.2500  0.7500  0.5000
Rh  0.5000  0.5000  0.0000
Cl  0.7500  0.2500  0.5000



(25)
DFT (PBE) results for crystalline YTi2Pt2 at its relaxed geometry.

Results
For the formation energy, the calculation gives -0.71 eV/atom. Its total energy is -7.58 eV/atom. The density of states at the Fermi level comes out at 15.62 states/eV/cell. As for the total moment: 0.00 μB/f.u.

a b c (Å): 7.6655 7.6655 3.1671
angles (deg): 90.00 90.00 90.00
Sites, in units of the cell vectors:
Y  0.0000  0.0000  0.0000
Y  0.5000  0.5000  0.0000
Pt  0.3696  0.8696  0.0000
Pt  0.8696  0.6304  0.0000
Pt  0.6304  0.1304  0.0000
Pt  0.1304  0.3696  0.0000
Ti  0.1606  0.6606  0.5000
Ti  0.6606  0.8394  0.5000
Ti  0.8394  0.3394  0.5000
Ti  0.3394  0.1606  0.5000